Record 1
{"formula": "TaBeSi2", "functional": "PBE", "state": "relaxed", "cell": [[6.694, 0.000, 0.000], [0.000, 6.694, 0.000], [3.347, 3.347, 2.514]], "species": ["Si", "Si", "Si", "Si", "Ta", "Ta", "Be", "Be"], "frac_coords": [[0.875, 0.823, 0.750], [0.177, 0.625, 0.250], [0.573, 0.125, 0.250], [0.375, 0.427, 0.750], [0.000, 0.000, 0.000], [0.750, 0.250, 0.500], [0.250, 0.750, 0.500], [0.500, 0.500, 0.000]], "vol_a3_per_cell": 113, "raw_formation_energy_ev_per_atom": 0.264, "spacegroup": "I-42d (122)"}


Record 2
{"formula": "TaBeSi2", "functional": "PBE", "state": "relaxed", "cell": [[-2.506, 0.944, 3.305], [0.004, -2.603, 0.747], [3.812, 0.771, 2.670]], "species": ["Si", "Si", "Ta", "Be"], "frac_coords": [[0.000, 0.000, 0.986], [0.500, 0.000, 0.263], [0.000, 0.500, 0.499], [0.500, 0.001, 0.752]], "vol_a3_per_cell": 54, "raw_formation_energy_ev_per_atom": -0.060, "spacegroup": "Pmm2 (25)"}


Record 3
{"formula": "TaBeSi3", "functional": "PBE", "state": "relaxed", "cell": [[4.891, 0.000, 0.000], [0.000, 4.891, 0.000], [0.000, 0.000, 4.891]], "species": ["Ta", "Si", "Si", "Si", "Be"], "frac_coords": [[0.000, 0.000, 0.000], [0.000, 0.500, 0.000], [0.000, 0.000, 0.500], [0.500, 0.000, 0.000], [0.500, 0.500, 0.500]], "relative_energy_ev_per_atom": 0.263, "vol_a3_per_cell": 117, "raw_formation_energy_ev_per_atom": 1.151, "spacegroup": "Pm-3m (221)"}